# PBE Mg6TlIn12, relaxed
# E in eV per cell: -134.377
# Formation energy in meV per atom: 0
data_Mg6TlIn12
_cell_length_a 10.8242
_cell_length_b 10.8242
_cell_length_c 14.4552
_cell_angle_alpha 90.00
_cell_angle_beta 90.00
_cell_angle_gamma 120.00
_space_group_name_H-M_alt 'R -3'
_space_group_IT_number 148
_space_group_name_Hall '-R 3'
loop_
_atom_site_label
_atom_site_fract_x
_atom_site_fract_y
_atom_site_fract_z
Mg1 0.0220 0.5861 0.2017
Tl1 0.0000 0.0000 0.5000
In1 0.0320 0.8442 0.3094
In2 0.0604 0.2140 0.9135